First-principles (PBE) data for crystalline LaSiS3 at its relaxed geometry, as listed in Alexandria.

Calculated values
The symmetry is Pm-3m. The excess energy over the best structure of this formula in the dataset is 0.344 eV per atom. Its total energy is -5.6344 eV/atom. Its formation energy from raw total energies is -1.088 eV/atom. Its density of states at the Fermi level is 0.18 states/eV per atom.

a = 4.6390 Å, b = 4.6390 Å, c = 4.6390 Å
α = 90.00°, β = 90.00°, γ = 90.00°
Closest atoms and distances in Å follow each position.
Fractional coordinates of all 5 atoms:
La 0.0000 0.0000 0.0000  12 S 3.28
Si 0.5000 0.5000 0.5000  6 S 2.32
S 0.0000 0.5000 0.5000  2 Si 2.32
S 0.5000 0.0000 0.5000  2 Si 2.32
S 0.5000 0.5000 0.0000  2 Si 2.32